[1]
A plane-wave DFT calculation with PBE was carried out for a geometry-optimized KNpCuS3 structure.

Lattice parameters (Å, degrees): 3.9666 8.7351 9.0784 107.97 90.00 90.00
Site moments in Bohr magnetons follow the coordinates.
Element x y z (fractional)
S 0.7500 0.4618 0.1532  -0.11
S 0.7500 0.2007 0.5349  -0.09
S 0.2500 0.7993 0.4651  -0.09
S 0.2500 0.5382 0.8468  -0.11
S 0.2500 0.1226 0.8599  -0.09
S 0.7500 0.8774 0.1401  -0.09
Np 0.7500 0.3222 0.8396  3.33
Np 0.2500 0.6778 0.1604  3.33
Cu 0.7500 0.9203 0.4055  -0.09
Cu 0.2500 0.0797 0.5945  -0.09
K 0.2500 0.2025 0.2447  0.00
K 0.7500 0.7975 0.7553  0.00

Summary:
Calculated density = 4.84 g cm⁻³
Final energy = -6.2155 eV per atom


[2]
A plane-wave DFT calculation with PBE was carried out for a geometry-optimized CsHf4Rh2 structure.

Lattice parameters (Å, degrees): 5.1581 5.1581 7.5522 70.03 70.03 90.00
Element x y z (fractional)
Hf 0.7855 0.7855 0.4290
Hf 0.5000 0.0000 0.0000
Hf 0.2145 0.2145 0.5710
Hf 0.0000 0.5000 0.0000
Rh 0.3937 0.3937 0.2125
Rh 0.6063 0.6063 0.7875
Cs 0.0000 0.0000 0.0000

Summary:
Calculated density = 9.93 g cm⁻³
Formation enthalpy at 0 K = 1.32 eV/atom


[3]
A plane-wave DFT calculation with PBE was carried out for a geometry-optimized NaThCd14 structure.

Lattice parameters (Å, degrees): 6.6693 6.6693 8.5410 90.00 90.00 90.00
Element x y z (fractional)
Cd 0.3750 0.8750 0.5000
Cd 0.8750 0.3750 0.5000
Cd 0.1305 0.6195 0.7615
Cd 0.3750 0.3750 0.0000
Cd 0.3750 0.8750 0.0000
Cd 0.6195 0.6195 0.2385
Cd 0.1305 0.1305 0.7614
Cd 0.1305 0.1305 0.2386
Cd 0.1305 0.6195 0.2385
Cd 0.6195 0.6195 0.7615
Cd 0.8750 0.3750 0.0000
Cd 0.8750 0.8750 0.0000
Cd 0.6195 0.1305 0.7615
Cd 0.6195 0.1305 0.2385
Th 0.8750 0.8750 0.5000
Na 0.3750 0.3750 0.5000

Summary:
Calculated density = 7.99 g cm⁻³
Formation enthalpy at 0 K = -0.04 eV/atom


[4]
A plane-wave DFT calculation with PBE was carried out for a geometry-optimized CaAlZn4 structure.

Lattice parameters (Å, degrees): 5.3717 5.3717 5.3717 60.00 60.00 60.00
Element x y z (fractional)
Zn 0.3749 0.3749 0.8752
Zn 0.3749 0.8752 0.3749
Zn 0.8752 0.3749 0.3749
Zn 0.3749 0.3749 0.3749
Ca 0.0000 0.0000 0.0000
Al 0.7500 0.7500 0.7500

Summary:
Calculated density = 4.98 g cm⁻³
Excess energy over the best structure of this formula in the dataset = 0.00 eV per formula unit
Formation enthalpy at 0 K = -0.10 eV/atom


[5]
A plane-wave DFT calculation with PBE was carried out for a geometry-optimized BaMgTl structure.

Lattice parameters (Å, degrees): 5.3577 5.3577 4.2267 90.00 90.00 120.00
Element x y z (fractional)
Mg 0.6667 0.3333 0.4999
Ba 0.0000 0.0000 0.0003
Tl 0.3333 0.6667 0.4997

Summary:
Calculated density = 5.78 g cm⁻³
Formation enthalpy at 0 K = -0.25 eV/atom


[6]
A plane-wave DFT calculation with PBE was carried out for a geometry-optimized Pr2ZnIn3 structure.

Lattice parameters (Å, degrees): 3.8385 4.8608 8.4724 90.00 90.00 90.00
Element x y z (fractional)
In 0.5000 0.5000 0.6527
In 0.5000 0.0000 0.8358
In 0.5000 0.0000 0.1790
Zn 0.5000 0.5000 0.3306
Pr 0.0000 0.5000 0.0060
Pr 0.0000 0.0000 0.4959

Summary:
Calculated density = 7.27 g cm⁻³
Formation enthalpy at 0 K = -0.46 eV/atom


The V results, record by record, are as follows: 299 176 380 110 105 158 Å³ per cell.